TaPO2: optimized geometry, PBE.

Calculated values
DOS at the Fermi energy = 11.7 states/eV/cell
mass density = 5.055 g/cm3
calculated total energy = -125.95 eV for the cell shown

CIF file:
```
data_TaPO2
_cell_length_a 6.095
_cell_length_b 6.095
_cell_length_c 8.629
_cell_angle_alpha 90.00
_cell_angle_beta 90.00
_cell_angle_gamma 90.00
_symmetry_space_group_name_H-M 'I -4 2 d'
_symmetry_Int_Tables_number 122
_symmetry_space_group_name_Hall 'I -4 2bw'
loop_
_atom_site_label
_atom_site_type_symbol
_atom_site_fract_x
_atom_site_fract_y
_atom_site_fract_z
Ta1 Ta 0.000 0.000 0.000
P1 P 0.000 0.000 0.500
O1 O 0.001 0.750 0.125
```

RbCeBi2Au2: optimized geometry, PBE.

Calculated values
formation energy = -0.55 eV per atom
DOS at the Fermi energy = 6.7 states/eV/cell
mass density = 8.732 g/cm3

CIF file:
```
data_RbCeBi2Au2
_cell_length_a 4.8562
_cell_length_b 4.8562
_cell_length_c 9.6606
_cell_angle_alpha 90.00
_cell_angle_beta 90.00
_cell_angle_gamma 120.00
_symmetry_space_group_name_H-M 'P -3 m 1'
_symmetry_Int_Tables_number 164
_symmetry_space_group_name_Hall '-P 3 2"'
loop_
_atom_site_label
_atom_site_type_symbol
_atom_site_fract_x
_atom_site_fract_y
_atom_site_fract_z
Rb1 Rb 0.0000 0.0000 0.0000
Ce1 Ce 0.0000 0.0000 0.5000
Bi1 Bi 0.3333 0.6667 0.7243
Au1 Au 0.3333 0.6667 0.3383
```

Mg2VI6: optimized geometry, PBE.

Calculated values
mass density = 4.134 g/cm3
calculated total energy = -58.47 eV for the cell shown

CIF file:
```
data_Mg2VI6
_cell_length_a 19.493
_cell_length_b 4.172
_cell_length_c 9.035
_cell_angle_alpha 90.00
_cell_angle_beta 109.75
_cell_angle_gamma 90.00
_symmetry_space_group_name_H-M 'C 1 2/m 1'
_symmetry_Int_Tables_number 12
loop_
_symmetry_equiv_pos_as_xyz
'x,y,z'
'-x,-y,-z'
'-x,y,-z'
'x,-y,z'
'x+1/2,y+1/2,z'
'-x+1/2,-y+1/2,-z'
'-x+1/2,y+1/2,-z'
'x+1/2,-y+1/2,z'
loop_
_atom_site_label
_atom_site_type_symbol
_atom_site_fract_x
_atom_site_fract_y
_atom_site_fract_z
Mg1 Mg 0.167 0.000 0.331
V1 V 0.000 0.500 0.000
I1 I 0.007 0.000 0.221
I2 I 0.155 0.500 0.096
I3 I 0.173 0.500 0.566
```

FePd2S2: optimized geometry, PBE.

Calculated values
DOS at the Fermi energy = 6.1 states/eV/cell
mass density = 7.341 g/cm3
calculated total energy = -55.62 eV for the cell shown

CIF file:
```
data_FePd2S2
_cell_length_a 5.698
_cell_length_b 5.698
_cell_length_c 4.638
_cell_angle_alpha 90.00
_cell_angle_beta 90.00
_cell_angle_gamma 90.00
_symmetry_space_group_name_H-M 'P 4/m b m'
_symmetry_Int_Tables_number 127
_symmetry_space_group_name_Hall '-P 4 2ab'
loop_
_atom_site_label
_atom_site_type_symbol
_atom_site_fract_x
_atom_site_fract_y
_atom_site_fract_z
Fe1 Fe 0.000 0.000 0.000
Pd1 Pd 0.182 0.318 0.500
S1 S 0.146 0.354 0.000
```

NbZnPt: optimized geometry, PBE.

Calculated values
formation energy = -0.52 eV per atom
DOS at the Fermi energy = 4.8 states/eV/cell
mass density = 12.454 g/cm3

CIF file:
```
data_NbZnPt
_cell_length_a 4.455
_cell_length_b 5.355
_cell_length_c 7.901
_cell_angle_alpha 90.00
_cell_angle_beta 90.00
_cell_angle_gamma 90.00
_symmetry_space_group_name_H-M 'I m m m'
_symmetry_Int_Tables_number 71
_symmetry_space_group_name_Hall '-I 2 2'
loop_
_atom_site_label
_atom_site_type_symbol
_atom_site_fract_x
_atom_site_fract_y
_atom_site_fract_z
Nb1 Nb 0.000 0.247 0.000
Zn1 Zn 0.000 0.000 0.337
Pt1 Pt 0.000 0.500 0.328
```

Mn4P: optimized geometry, PBE.

Calculated values
formation energy = 0.25 eV per atom
DOS at the Fermi energy = 9.1 states/eV/cell
mass density = 7.115 g/cm3
distance to the lowest polymorph of the same formula = 1.886 eV/f.u.

CIF file:
```
data_Mn4P
_cell_length_a 3.007
_cell_length_b 3.007
_cell_length_c 12.943
_cell_angle_alpha 90.00
_cell_angle_beta 90.00
_cell_angle_gamma 90.00
_symmetry_space_group_name_H-M 'I 4/m m m'
_symmetry_Int_Tables_number 139
_symmetry_space_group_name_Hall '-I 4 2'
loop_
_atom_site_label
_atom_site_type_symbol
_atom_site_fract_x
_atom_site_fract_y
_atom_site_fract_z
Mn1 Mn 0.000 0.000 0.095
Mn2 Mn 0.000 0.500 0.250
P1 P 0.000 0.000 0.500
```

BeTeBr: optimized geometry, PBE.

Calculated values
DOS at the Fermi energy = 15.7 states/eV/cell
mass density = 4.970 g/cm3
distance to the lowest polymorph of the same formula = 2.810 eV/f.u.

CIF file:
```
data_BeTeBr
_cell_length_a 6.614
_cell_length_b 6.614
_cell_length_c 6.614
_cell_angle_alpha 90.00
_cell_angle_beta 90.00
_cell_angle_gamma 90.00
_symmetry_space_group_name_H-M 'F -4 3 m'
_symmetry_Int_Tables_number 216
_symmetry_space_group_name_Hall 'F -4 2 3'
loop_
_atom_site_label
_atom_site_type_symbol
_atom_site_fract_x
_atom_site_fract_y
_atom_site_fract_z
Be1 Be 0.000 0.000 0.000
Te1 Te 0.250 0.250 0.250
Br1 Br 0.250 0.250 0.750
```

Tb5In4Ir: optimized geometry, PBE.

Calculated values
formation energy = -0.56 eV per atom
DOS at the Fermi energy = 5.2 states/eV/cell
mass density = 9.401 g/cm3

CIF file:
```
data_Tb5In4Ir
_cell_length_a 3.520
_cell_length_b 3.520
_cell_length_c 20.619
_cell_angle_alpha 90.00
_cell_angle_beta 90.00
_cell_angle_gamma 90.00
_symmetry_space_group_name_H-M 'P 4/m m m'
_symmetry_Int_Tables_number 123
_symmetry_space_group_name_Hall '-P 4 2'
loop_
_atom_site_label
_atom_site_type_symbol
_atom_site_fract_x
_atom_site_fract_y
_atom_site_fract_z
Tb1 Tb 0.000 0.000 0.000
Tb2 Tb 0.000 0.000 0.209
Tb3 Tb 0.000 0.000 0.420
In1 In 0.500 0.500 0.104
In2 In 0.500 0.500 0.311
Ir1 Ir 0.500 0.500 0.500
```